Entry 1:
Mn3AlW: relaxed, PBE.

## Properties
density of states at the Fermi level = 7.09 states/eV/cell
magnetic moment = 0.0001 μB per atom
crystal system = cubic
energy of formation = 7.0 eV per formula unit
electronic total energy = -7.440 eV per atom

```
data_Mn3AlW
_symmetry_space_group_name_H-M 'P m -3 m'
_symmetry_Int_Tables_number 221
_symmetry_space_group_name_Hall '-P 4 2 3'
_cell_length_a 4.123
_cell_length_b 4.123
_cell_length_c 4.123
_cell_angle_alpha 90.00
_cell_angle_beta 90.00
_cell_angle_gamma 90.00
loop_
_atom_site_label
_atom_site_fract_x
_atom_site_fract_y
_atom_site_fract_z
Mn1 0.000 0.000 0.500
Al1 0.000 0.000 0.000
W1 0.500 0.500 0.500
```



Entry 2:
MnAlW2: relaxed, PBE.

## Properties
density of states at the Fermi level = 14.38 states/eV/cell
magnetic moment = 0.0001 μB per atom
crystal system = trigonal
energy of formation = 1.0 eV per formula unit
electronic total energy = -9.463 eV per atom

```
data_MnAlW2
_symmetry_space_group_name_H-M 'R 3 m'
_symmetry_Int_Tables_number 160
_symmetry_space_group_name_Hall 'R 3 -2"'
_cell_length_a 2.7956
_cell_length_b 2.7956
_cell_length_c 26.2707
_cell_angle_alpha 90.00
_cell_angle_beta 90.00
_cell_angle_gamma 120.00
loop_
_atom_site_label
_atom_site_fract_x
_atom_site_fract_y
_atom_site_fract_z
Mn1 0.0000 0.0000 0.0000
Al1 0.0000 0.0000 0.2569
W1 0.0000 0.0000 0.5014
W2 0.0000 0.0000 0.7426
```



Entry 3:
Mn2AlW2: relaxed, PBE.

## Properties
density of states at the Fermi level = 6.47 states/eV/cell
magnetic moment = 0.0000 μB per atom
crystal system = tetragonal
energy of formation = 1.1 eV per formula unit
electronic total energy = -9.378 eV per atom

```
data_Mn2AlW2
_symmetry_space_group_name_H-M 'P 4/m b m'
_symmetry_Int_Tables_number 127
_symmetry_space_group_name_Hall '-P 4 2ab'
_cell_length_a 6.989
_cell_length_b 6.989
_cell_length_c 2.915
_cell_angle_alpha 90.00
_cell_angle_beta 90.00
_cell_angle_gamma 90.00
loop_
_atom_site_label
_atom_site_fract_x
_atom_site_fract_y
_atom_site_fract_z
Mn1 0.134 0.366 0.000
Al1 0.000 0.000 0.000
W1 0.165 0.665 0.500
```



Entry 4:
MnAlW2: relaxed, PBE.

## Properties
density of states at the Fermi level = 7.27 states/eV/cell
magnetic moment = 0.5446 μB per atom
crystal system = orthorhombic
energy of formation = 0.6 eV per formula unit
electronic total energy = -9.566 eV per atom

```
data_MnAlW2
_symmetry_space_group_name_H-M 'C m m m'
_symmetry_Int_Tables_number 65
_symmetry_space_group_name_Hall '-C 2 2'
_cell_length_a 5.296
_cell_length_b 8.393
_cell_length_c 2.677
_cell_angle_alpha 90.00
_cell_angle_beta 90.00
_cell_angle_gamma 90.00
loop_
_atom_site_label
_atom_site_fract_x
_atom_site_fract_y
_atom_site_fract_z
Mn1 0.000 0.000 0.000
Al1 0.000 0.500 0.000
W1 0.250 0.250 0.500
```